Entry 1:
DFT (PBE-GGA) results for a relaxed structure of Al2AgHg.

Cell: 8.917 8.917 8.917 Å, 20.30 20.30 20.30°
Fractional coordinates of all 4 atoms:
Hg 0.250 0.250 0.250
Al 0.496 0.496 0.496
Al 0.004 0.004 0.004
Ag 0.750 0.750 0.750

Output
ΔH_f (0 K)   0.047 eV/atom
SG   R-3m, No. 166

Entry 2:
DFT (PBE-GGA) results for a relaxed structure of AlAg4Hg.

Cell: 5.527 5.527 5.527 Å, 60.00 60.00 60.00°
Fractional coordinates of all 6 atoms:
Ag 0.375 0.375 0.375
Ag 0.874 0.375 0.375
Hg 0.000 0.000 0.000
Ag 0.375 0.375 0.874
Al 0.750 0.750 0.750
Ag 0.375 0.874 0.375

Output
ΔH_f (0 K)   0.171 eV/atom
SG   F-43m, No. 216
Energy above the lowest structure with this stoichiometry   1.00 eV/f.u.

Entry 3:
DFT (PBE-GGA) results for a relaxed structure of Al2AgHg.

Cell: 5.123 5.123 3.032 Å, 90.00 90.00 109.37°
Fractional coordinates of all 4 atoms:
Al 0.500 0.500 0.000
Hg 0.500 0.000 0.500
Al 0.000 0.000 0.000
Ag 0.000 0.500 0.500

Output
ΔH_f (0 K)   0.144 eV/atom
SG   Cmmm, No. 65

Entry 4:
DFT (PBE-GGA) results for a relaxed structure of AlAg2Hg.

Cell: 3.159 3.036 9.214 Å, 90.17 90.00 121.35°
Fractional coordinates of all 4 atoms:
Ag 0.338 0.675 0.729
Al 0.000 0.000 0.500
Hg 0.000 0.000 0.000
Ag 0.662 0.325 0.271

Output
ΔH_f (0 K)   0.025 eV/atom
SG   C2/m, No. 12
Energy above the lowest structure with this stoichiometry   0.01 eV/f.u.

Entry 5:
DFT (PBE-GGA) results for a relaxed structure of Al2AgHg.

Cell: 5.140 5.140 4.717 Å, 84.93 84.93 37.37°
Fractional coordinates of all 4 atoms:
Al 0.748 0.748 0.754
Ag 0.252 0.252 0.226
Hg 0.502 0.502 0.511
Al 0.998 0.998 0.010

Output
ΔH_f (0 K)   0.084 eV/atom
SG   Cm, No. 8

Entry 6:
DFT (PBE-GGA) results for a relaxed structure of Al2AgHg2.

Cell: 7.848 7.848 3.421 Å, 90.00 90.00 90.00°
Fractional coordinates of all 10 atoms:
Hg 0.824 0.676 0.000
Al 0.625 0.875 0.500
Hg 0.176 0.324 0.000
Al 0.875 0.375 0.500
Al 0.375 0.125 0.500
Al 0.125 0.625 0.500
Hg 0.676 0.176 0.000
Ag 0.500 0.500 0.000
Hg 0.324 0.824 0.000
Ag 0.000 0.000 0.000

Output
ΔH_f (0 K)   0.230 eV/atom
SG   P4/mbm, No. 127
Energy above the lowest structure with this stoichiometry   0.51 eV/f.u.

Entry 7:
DFT (PBE-GGA) results for a relaxed structure of Al2AgHg2.

Cell: 4.237 4.237 6.870 Å, 72.04 72.04 90.00°
Fractional coordinates of all 5 atoms:
Hg 0.250 0.750 0.500
Al 0.399 0.399 0.202
Al 0.601 0.601 0.798
Hg 0.750 0.250 0.500
Ag 0.000 0.000 0.000

Output
ΔH_f (0 K)   0.310 eV/atom
SG   I4/mmm, No. 139
Energy above the lowest structure with this stoichiometry   0.91 eV/f.u.

Entry 8:
DFT (PBE-GGA) results for a relaxed structure of AlAg8Hg2.

Cell: 5.124 7.079 7.079 Å, 81.49 74.70 74.70°
Fractional coordinates of all 11 atoms:
Ag 0.148 0.335 0.849
Ag 0.706 0.564 0.564
Hg 0.461 0.154 0.154
Ag 0.879 0.271 0.271
Ag 0.121 0.729 0.729
Ag 0.294 0.436 0.436
Ag 0.852 0.665 0.151
Ag 0.852 0.151 0.665
Ag 0.148 0.849 0.335
Hg 0.539 0.846 0.846
Al 0.000 0.000 0.000

Output
ΔH_f (0 K)   0.178 eV/atom
SG   C2/m, No. 12

Q: What is the ΔH_f (0 K) in the fifth record?
A: 0.084 eV/atom

Q: What is the formula in the seventh record?
A: Al2AgHg2

Q: Which value of ΔH_f (0 K) does entry 4 give?
A: 0.025 eV/atom